Entry 1:
# SrCo3Pd, optimized geometry, DFT PBE
# * energy relative to the elements: 2155 meV per atom
# * magnetic moment: 4.3 μB per formula unit
# * E_tot: -3.484 eV/atom
# * DOS at the Fermi energy: 6.8 states/eV per cell
# * E above lowest polymorph: 1377 meV/atom
data_SrCo3Pd
_chemical_formula_sum 'Sr1 Co3 Pd1'
_space_group_name_H-M_alt 'P m -3 m'
_space_group_IT_number 221
_space_group_name_Hall '-P 4 2 3'
_cell_length_a 4.6000
_cell_length_b 4.6000
_cell_length_c 4.6000
_cell_angle_alpha 90.00
_cell_angle_beta 90.00
_cell_angle_gamma 90.00
loop_
_atom_site_label
_atom_site_fract_x
_atom_site_fract_y
_atom_site_fract_z
Sr1 0.0000 0.0000 0.0000
Co1 0.0000 0.0000 0.5000
Pd1 0.5000 0.5000 0.5000

=====

Entry 2:
# DyTm2Te, optimized geometry, DFT PBE
# * formation energy from raw total energies: -0.63 eV per atom
# * magnetic moment: 0.0 μB per formula unit
# * E_tot: -4.798 eV/atom
# * DOS at the Fermi energy: 20.5 states/eV per cell
# * E above lowest polymorph: 0 meV/atom
data_DyTm2Te
_chemical_formula_sum 'Dy4 Tm8 Te4'
_space_group_name_H-M_alt 'C m c m'
_space_group_IT_number 63
_space_group_name_Hall '-C 2c 2'
_cell_length_a 3.8967
_cell_length_b 12.0165
_cell_length_c 9.7532
_cell_angle_alpha 90.00
_cell_angle_beta 90.00
_cell_angle_gamma 90.00
loop_
_atom_site_label
_atom_site_fract_x
_atom_site_fract_y
_atom_site_fract_z
Dy1 0.0000 0.0546 0.2500
Tm1 0.0000 0.3650 0.0359
Te1 0.0000 0.2350 0.7500

=====

Entry 3:
# PrNdSm2Mg, optimized geometry, DFT PBE
# * energy relative to the elements: 19 meV per atom
# * magnetic moment: 0.0 μB per formula unit
# * E_tot: -4.097 eV/atom
# * DOS at the Fermi energy: 27.7 states/eV per cell
data_PrNdSm2Mg
_chemical_formula_sum 'Pr4 Nd4 Sm8 Mg4'
_space_group_name_H-M_alt 'C 1 2/m 1'
_space_group_IT_number 12
_cell_length_a 11.3651
_cell_length_b 5.0140
_cell_length_c 11.3877
_cell_angle_alpha 90.00
_cell_angle_beta 90.14
_cell_angle_gamma 90.00
loop_
_space_group_symop_operation_xyz
'x,y,z'
'-x,-y,-z'
'-x,y,-z'
'x,-y,z'
'x+1/2,y+1/2,z'
'-x+1/2,-y+1/2,-z'
'-x+1/2,y+1/2,-z'
'x+1/2,-y+1/2,z'
loop_
_atom_site_label
_atom_site_fract_x
_atom_site_fract_y
_atom_site_fract_z
Pr1 0.2453 0.0000 0.2569
Nd1 0.0458 0.5000 0.1520
Sm1 0.1452 0.5000 0.4539
Sm2 0.1535 0.0000 0.9462
Mg1 0.0539 0.0000 0.6396

=====

Entry 4:
# RbNiPS2, optimized geometry, DFT PBE
# * formation energy from raw total energies: 2.00 eV per atom
# * magnetic moment: 6.0 μB per formula unit
# * E_tot: -2.082 eV/atom
# * DOS at the Fermi energy: 11.6 states/eV per cell
# * E above lowest polymorph: 1968 meV/atom
data_RbNiPS2
_chemical_formula_sum 'Rb1 Ni1 P1 S2'
_space_group_name_H-M_alt 'P 4/m m m'
_space_group_IT_number 123
_space_group_name_Hall '-P 4 2'
_cell_length_a 5.8728
_cell_length_b 5.8728
_cell_length_c 6.1411
_cell_angle_alpha 90.00
_cell_angle_beta 90.00
_cell_angle_gamma 90.00
loop_
_atom_site_label
_atom_site_fract_x
_atom_site_fract_y
_atom_site_fract_z
Rb1 0.0000 0.0000 0.0000
Ni1 0.5000 0.5000 0.5000
P1 0.0000 0.0000 0.5000
S1 0.0000 0.5000 0.0000